No. 1
# CaPm2Br8, relaxed, DFT PBE-GGA
# raw total energy: -4.02 eV/atom
# volume: 1098.3 Å³/cell
# E_form (uncorrected): -1.759 eV per atom
data_CaPm2Br8
_cell_length_a 14.9862
_cell_length_b 10.0810
_cell_length_c 7.4068
_cell_angle_alpha 90.00
_cell_angle_beta 101.03
_cell_angle_gamma 90.00
_symmetry_space_group_name_H-M 'C 1 2/m 1'
_symmetry_Int_Tables_number 12
loop_
_symmetry_equiv_pos_as_xyz
'x,y,z'
'-x,-y,-z'
'-x,y,-z'
'x,-y,z'
'x+1/2,y+1/2,z'
'-x+1/2,-y+1/2,-z'
'-x+1/2,y+1/2,-z'
'x+1/2,-y+1/2,z'
loop_
_atom_site_label
_atom_site_fract_x
_atom_site_fract_y
_atom_site_fract_z
Ca1 0.0000 0.0000 0.0000
Pm1 0.1825 0.0000 0.6538
Br1 0.0838 0.1964 0.7896
Br2 0.1415 0.5000 0.1951
Br3 0.1709 0.0000 0.2734

---

No. 2
# CaPmBr5, relaxed, DFT PBE-GGA
# raw total energy: -4.06 eV/atom
# volume: 507.7 Å³/cell
# E_form (uncorrected): -1.898 eV per atom
data_CaPmBr5
_cell_length_a 8.6379
_cell_length_b 4.2296
_cell_length_c 13.9372
_cell_angle_alpha 90.00
_cell_angle_beta 94.45
_cell_angle_gamma 90.00
_symmetry_space_group_name_H-M 'P 1 21/m 1'
_symmetry_Int_Tables_number 11
loop_
_symmetry_equiv_pos_as_xyz
'x,y,z'
'-x,-y,-z'
'-x,y+1/2,-z'
'x,-y+1/2,z'
loop_
_atom_site_label
_atom_site_fract_x
_atom_site_fract_y
_atom_site_fract_z
Ca1 0.0868 0.2500 0.1340
Pm1 0.4139 0.7500 0.3467
Br1 0.0798 0.7500 0.3109
Br2 0.1337 0.2500 0.9264
Br3 0.3225 0.2500 0.4828
Br4 0.3427 0.7500 0.1360
Br5 0.3839 0.7500 0.7066

---

No. 3
# CaPmBr6, relaxed, DFT PBE-GGA
# raw total energy: -3.63 eV/atom
# volume: 1517.7 Å³/cell
# E_form (uncorrected): -1.528 eV per atom
data_CaPmBr6
_cell_length_a 11.4919
_cell_length_b 11.4919
_cell_length_c 11.4919
_cell_angle_alpha 90.00
_cell_angle_beta 90.00
_cell_angle_gamma 90.00
_symmetry_space_group_name_H-M 'F m -3 m'
_symmetry_Int_Tables_number 225
_symmetry_space_group_name_Hall '-F 4 2 3'
loop_
_atom_site_label
_atom_site_fract_x
_atom_site_fract_y
_atom_site_fract_z
Ca1 0.0000 0.0000 0.0000
Pm1 0.0000 0.0000 0.5000
Br1 0.0000 0.0000 0.2510

---

No. 4
# RbCa2PmBr8, relaxed, DFT PBE-GGA
# raw total energy: -3.82 eV/atom
# volume: 449.2 Å³/cell
# E_form (uncorrected): -1.899 eV per atom
data_RbCa2PmBr8
_cell_length_a 6.8203
_cell_length_b 9.2165
_cell_length_c 7.1472
_cell_angle_alpha 90.00
_cell_angle_beta 90.53
_cell_angle_gamma 90.00
_symmetry_space_group_name_H-M 'P 1 2/m 1'
_symmetry_Int_Tables_number 10
loop_
_symmetry_equiv_pos_as_xyz
'x,y,z'
'-x,-y,-z'
'-x,y,-z'
'x,-y,z'
loop_
_atom_site_label
_atom_site_fract_x
_atom_site_fract_y
_atom_site_fract_z
Rb1 0.0000 0.0000 0.0000
Ca1 0.5000 0.2468 0.5000
Pm1 0.0000 0.5000 0.0000
Br1 0.2473 0.2844 0.1694
Br2 0.2632 0.5000 0.6698
Br3 0.2742 0.0000 0.6231